Record 1
SbHIrAuBr | GGA-PBE | optimized geometry

```
SbHIrAuBr
1.0
4.137 0.000 0.000
-2.044 3.606 0.000
-1.361 -1.620 8.048
Sb H Ir Au Br
1 1 1 1 1
direct
0.000 0.000 0.000
0.379 0.693 0.074
0.265 0.610 0.876
0.119 0.195 0.314
0.037 0.525 0.566
```

Values from the calculation:
- DFT total energy: -21.0 eV per cell

---

Record 2
SbHIrAuBr | GGA-PBE | optimized geometry

```
SbHIrAuBr
1.0
4.273 0.000 0.000
-2.136 4.757 0.000
-2.136 -1.792 5.831
Sb H Ir Au Br
1 1 1 1 1
direct
0.000 0.000 0.000
0.216 0.603 0.828
0.426 0.757 0.096
0.727 0.377 0.075
0.647 0.760 0.527
```

Values from the calculation:
- DFT total energy: -21.2 eV per cell

---

Record 3
SbHIrAuBr | GGA-PBE | optimized geometry

```
SbHIrAuBr
1.0
3.966 0.000 0.000
1.963 4.683 0.000
1.983 0.816 6.143
Sb H Ir Au Br
1 1 1 1 1
direct
0.000 0.000 0.000
0.686 0.660 0.965
0.529 0.730 0.212
0.230 0.319 0.214
0.377 0.633 0.619
```

Values from the calculation:
- DFT total energy: -21.1 eV per cell

---

Record 4
SbHIrAuBr | GGA-PBE | optimized geometry

```
SbHIrAuBr
1.0
4.801 -2.190 0.000
4.801 2.190 0.000
-0.273 0.000 4.880
Sb H Ir Au Br
1 1 1 1 1
direct
0.000 0.000 0.000
0.997 0.997 0.354
0.642 0.642 0.922
0.328 0.328 0.916
0.710 0.710 0.431
```

Values from the calculation:
- DFT total energy: -20.4 eV per cell

---

Record 5
SbHIrAuBr | GGA-PBE | optimized geometry

```
SbHIrAuBr
1.0
4.300 0.000 0.000
2.146 3.727 0.000
2.134 1.214 6.832
Sb H Ir Au Br
1 1 1 1 1
direct
0.000 0.000 0.000
0.698 0.697 0.905
0.621 0.622 0.136
0.226 0.229 0.320
0.482 0.487 0.552
```

Values from the calculation:
- DFT total energy: -21.2 eV per cell

---

Record 6
SbHIrAuBr | GGA-PBE | optimized geometry

```
SbHIrAuBr
1.0
4.229 0.000 0.000
2.107 4.290 0.000
1.979 -0.909 6.359
Sb H Ir Au Br
1 1 1 1 1
direct
0.000 0.000 0.000
0.484 0.757 0.292
0.649 0.659 0.044
0.227 0.352 0.206
0.994 0.334 0.648
```

Values from the calculation:
- DFT total energy: -21.2 eV per cell

---

Number 1: DOS at the Fermi energy 0.978 states/eV/f.u., polymorph energy (0 for the lowest one) 0.27 eV per formula unit. Number 2: DOS at the Fermi energy 1.215 states/eV/f.u., polymorph energy (0 for the lowest one) 0.14 eV per formula unit. Number 3: DOS at the Fermi energy 1.902 states/eV/f.u., polymorph energy (0 for the lowest one) 0.21 eV per formula unit. Number 4: DOS at the Fermi energy 1.607 states/eV/f.u., polymorph energy (0 for the lowest one) 0.91 eV per formula unit. Number 5: DOS at the Fermi energy 2.030 states/eV/f.u., polymorph energy (0 for the lowest one) 0.08 eV per formula unit. Number 6: DOS at the Fermi energy 1.019 states/eV/f.u., polymorph energy (0 for the lowest one) 0.13 eV per formula unit.